# 1
This record from Alexandria via LeMat-Bulk describes a relaxed LiErTmAl crystal. The functional is GGA-PBE.

CIF file:
```
data_LiErTmAl
_cell_length_a 7.202
_cell_length_b 7.202
_cell_length_c 7.202
_cell_angle_alpha 90.00
_cell_angle_beta 90.00
_cell_angle_gamma 90.00
_symmetry_space_group_name_H-M 'F -4 3 m'
_symmetry_Int_Tables_number 216
_symmetry_space_group_name_Hall 'F -4 2 3'
loop_
_atom_site_label
_atom_site_type_symbol
_atom_site_fract_x
_atom_site_fract_y
_atom_site_fract_z
_atom_site_occupancy
Li1 Li 0.000 0.000 0.000 1
Er1 Er 0.250 0.250 0.750 1
Tm1 Tm 0.250 0.250 0.250 1
Al1 Al 0.000 0.000 0.500 1
```

Properties
- E_tot: -0.1426 Ha/atom

---

# 2
This record from Alexandria via LeMat-Bulk describes a relaxed TiSi2Pd crystal. The functional is GGA-PBE.

CIF file:
```
data_TiSi2Pd
_cell_length_a 4.036
_cell_length_b 4.036
_cell_length_c 3.518
_cell_angle_alpha 90.00
_cell_angle_beta 90.00
_cell_angle_gamma 90.00
_symmetry_space_group_name_H-M 'P 4/m m m'
_symmetry_Int_Tables_number 123
_symmetry_space_group_name_Hall '-P 4 2'
loop_
_atom_site_label
_atom_site_type_symbol
_atom_site_fract_x
_atom_site_fract_y
_atom_site_fract_z
_atom_site_occupancy
Ti1 Ti 0.000 0.000 0.000 1
Si1 Si 0.000 0.500 0.500 1
Pd1 Pd 0.500 0.500 0.000 1
```

Properties
- Energy relative to the elements, uncorrected: -2.03 eV per formula unit

---

# 3
This record from Alexandria via LeMat-Bulk describes a relaxed AcPuBeO6 crystal. The functional is GGA-PBE.

CIF file:
```
data_AcPuBeO6
_cell_length_a 5.1252
_cell_length_b 5.1252
_cell_length_c 5.5173
_cell_angle_alpha 90.00
_cell_angle_beta 90.00
_cell_angle_gamma 120.00
_symmetry_space_group_name_H-M 'P 3 1 2'
_symmetry_Int_Tables_number 149
_symmetry_space_group_name_Hall 'P 3 2'
loop_
_atom_site_label
_atom_site_type_symbol
_atom_site_fract_x
_atom_site_fract_y
_atom_site_fract_z
_atom_site_occupancy
Ac1 Ac 0.0000 0.0000 0.0000 1
Pu1 Pu 0.3333 0.6667 0.5000 1
Be1 Be 0.6667 0.3333 0.5000 1
O1 O 0.3786 0.0149 0.7003 1
```

Properties
- Energy relative to the elements, uncorrected: -23.25 eV per formula unit

---

# 4
This record from Alexandria via LeMat-Bulk describes a relaxed ZrPbW2 crystal. The functional is GGA-PBE.

CIF file:
```
data_ZrPbW2
_cell_length_a 3.033
_cell_length_b 4.623
_cell_length_c 5.733
_cell_angle_alpha 90.00
_cell_angle_beta 101.85
_cell_angle_gamma 90.00
_symmetry_space_group_name_H-M 'P 1 m 1'
_symmetry_Int_Tables_number 6
_symmetry_space_group_name_Hall 'P -2y'
loop_
_atom_site_label
_atom_site_type_symbol
_atom_site_fract_x
_atom_site_fract_y
_atom_site_fract_z
_atom_site_occupancy
Zr1 Zr 0.000 0.000 0.000 1
Pb1 Pb 0.613 0.500 0.253 1
W1 W 0.272 0.500 0.729 1
W2 W 0.513 0.000 0.548 1
```

Properties
- E_tot: -0.3342 Ha/atom

---

# 5
This record from Alexandria via LeMat-Bulk describes a relaxed RbPr2ReO8 crystal. The functional is GGA-PBE.

CIF file:
```
data_RbPr2ReO8
_cell_length_a 4.509
_cell_length_b 5.306
_cell_length_c 7.736
_cell_angle_alpha 89.69
_cell_angle_beta 74.50
_cell_angle_gamma 88.44
_symmetry_space_group_name_H-M 'P -1'
_symmetry_Int_Tables_number 2
_symmetry_space_group_name_Hall '-P 1'
loop_
_atom_site_label
_atom_site_type_symbol
_atom_site_fract_x
_atom_site_fract_y
_atom_site_fract_z
_atom_site_occupancy
Rb1 Rb 0.000 0.000 0.000 1
Pr1 Pr 0.386 0.507 0.304 1
Re1 Re 0.000 0.000 0.500 1
O1 O 0.167 0.283 0.597 1
O2 O 0.210 0.760 0.607 1
O3 O 0.327 0.995 0.289 1
O4 O 0.329 0.500 0.006 1
```

Properties
- Energy relative to the elements, uncorrected: -26.28 eV per formula unit

---

# 6
This record from Alexandria via LeMat-Bulk describes a relaxed PaTlAg2Se4 crystal. The functional is GGA-PBE.

CIF file:
```
data_PaTlAg2Se4
_cell_length_a 7.057
_cell_length_b 7.682
_cell_length_c 8.303
_cell_angle_alpha 90.00
_cell_angle_beta 90.00
_cell_angle_gamma 90.00
_symmetry_space_group_name_H-M 'I 2 2 2'
_symmetry_Int_Tables_number 23
_symmetry_space_group_name_Hall 'I 2 2'
loop_
_atom_site_label
_atom_site_type_symbol
_atom_site_fract_x
_atom_site_fract_y
_atom_site_fract_z
_atom_site_occupancy
Pa1 Pa 0.000 0.000 0.000 1
Tl1 Tl 0.000 0.000 0.500 1
Ag1 Ag 0.000 0.500 0.326 1
Se1 Se 0.219 0.218 0.825 1
```

Properties
- Energy relative to the elements, uncorrected: -4.35 eV per formula unit